First-principles (GGA-PBE) data for Tb6PmYHo2 after structural relaxation, as listed in Alexandria via LeMat-Bulk.

Properties
Space-group type = No. 15
ΔE_f = 0.120 eV/atom
Total energy = -93.907 eV for the cell shown

Lattice parameters (Å, degrees): 9.615 8.805 8.805 118.06 94.01 94.01
Sites, in units of the cell vectors:
Ho (0.044, 0.300, 0.193)
Ho (0.456, 0.807, 0.700)
Ho (0.956, 0.700, 0.807)
Ho (0.544, 0.193, 0.300)
Tb (0.816, 0.429, 0.976)
Tb (0.121, 0.709, 0.498)
Tb (0.945, 0.878, 0.249)
Tb (0.055, 0.122, 0.751)
Tb (0.555, 0.751, 0.122)
Tb (0.621, 0.498, 0.709)
Tb (0.184, 0.571, 0.024)
Tb (0.316, 0.976, 0.429)
Tb (0.445, 0.249, 0.878)
Tb (0.879, 0.291, 0.502)
Tb (0.684, 0.024, 0.571)
Tb (0.379, 0.502, 0.291)
Y (0.250, 0.976, 0.024)
Y (0.750, 0.024, 0.976)
Pm (0.750, 0.593, 0.407)
Pm (0.250, 0.407, 0.593)